Entry from the Alexandria database: a geometry-optimized BaSmTlZn structure (PBE-GGA).

Properties
Formation energy = -0.19 eV/atom

Structure (POSCAR):
```
BaSmTlZn
1.0
7.978 0.000 0.000
0.000 7.978 0.000
0.000 0.000 7.978
Ba Sm Tl Zn
4 4 4 4
Direct
0.000 0.000 0.000 Ba
0.000 0.500 0.500 Ba
0.500 0.000 0.500 Ba
0.500 0.500 0.000 Ba
0.000 0.000 0.500 Sm
0.000 0.500 0.000 Sm
0.500 0.000 0.000 Sm
0.500 0.500 0.500 Sm
0.250 0.250 0.250 Tl
0.250 0.750 0.750 Tl
0.750 0.250 0.750 Tl
0.750 0.750 0.250 Tl
0.250 0.250 0.750 Zn
0.250 0.750 0.250 Zn
0.750 0.250 0.250 Zn
0.750 0.750 0.750 Zn
```

=====

Entry from the Alexandria database: a geometry-optimized Al2Cu5Si structure (PBE-GGA).

Properties
E_form (uncorrected) = -0.12 eV per atom
Energy above the most stable polymorph in this dataset = 0.0000 eV/atom

Structure (POSCAR):
```
Al2Cu5Si
1.0
5.227 0.000 0.000
0.000 10.575 0.000
0.000 0.000 3.683
Al Cu Si
4 10 2
Direct
0.226 0.134 0.000 Al
0.274 0.634 0.000 Al
0.726 0.366 0.000 Al
0.774 0.866 0.000 Al
0.000 0.000 0.500 Cu
0.013 0.744 0.500 Cu
0.234 0.382 0.000 Cu
0.266 0.882 0.000 Cu
0.487 0.244 0.500 Cu
0.500 0.500 0.500 Cu
0.513 0.756 0.500 Cu
0.734 0.118 0.000 Cu
0.766 0.618 0.000 Cu
0.987 0.256 0.500 Cu
0.000 0.500 0.500 Si
0.500 0.000 0.500 Si
```

=====

| no. | N(E_F) (states/eV/f.u.) | theoretical density (g cm⁻³) |
| --- | --- | --- |
| 1 | 3.7 | 7.3 |
| 2 | 1.8 | 6.5 |